# 1
Crystalline Pm5PaC4 at its relaxed geometry, computed with PBE-GGA.

Cell and atoms, written as CIF:
```
data_Pm5PaC4
_cell_length_a 16.264
_cell_length_b 3.676
_cell_length_c 7.485
_cell_angle_alpha 90.00
_cell_angle_beta 102.18
_cell_angle_gamma 90.00
_space_group_name_H-M_alt 'C 1 2/m 1'
_space_group_IT_number 12
_space_group_name_Hall '-C 2y'
loop_
_atom_site_label
_atom_site_fract_x
_atom_site_fract_y
_atom_site_fract_z
_atom_site_occupancy
Pm1 0.000 0.000 0.000 1
Pm2 0.158 0.500 0.807 1
Pm3 0.166 0.500 0.349 1
Pa1 0.000 0.000 0.500 1
C1 0.002 0.500 0.731 1
C2 0.158 0.000 0.577 1
```

Summary:
Calculated formation energy in eV/atom: -0.1666
D(E_F) in states/eV/atom: 0.841


# 2
Crystalline CdSe3O at its relaxed geometry, computed with PBE-GGA.

Cell and atoms, written as CIF:
```
data_CdSe3O
_cell_length_a 5.199
_cell_length_b 5.199
_cell_length_c 5.199
_cell_angle_alpha 90.00
_cell_angle_beta 90.00
_cell_angle_gamma 90.00
_space_group_name_H-M_alt 'P m -3 m'
_space_group_IT_number 221
_space_group_name_Hall '-P 4 2 3'
loop_
_atom_site_label
_atom_site_fract_x
_atom_site_fract_y
_atom_site_fract_z
_atom_site_occupancy
Cd1 0.000 0.000 0.000 1
Se1 0.000 0.000 0.500 1
O1 0.500 0.500 0.500 1
```

Summary:
Uncorrected formation energy in eV per atom: 1.29
D(E_F) in states/eV/atom: 2.976


# 3
Crystalline Ca3AgBr at its relaxed geometry, computed with PBE-GGA.

Cell and atoms, written as CIF:
```
data_Ca3AgBr
_cell_length_a 5.789
_cell_length_b 5.789
_cell_length_c 5.789
_cell_angle_alpha 90.00
_cell_angle_beta 90.00
_cell_angle_gamma 90.00
_space_group_name_H-M_alt 'P m -3 m'
_space_group_IT_number 221
_space_group_name_Hall '-P 4 2 3'
loop_
_atom_site_label
_atom_site_fract_x
_atom_site_fract_y
_atom_site_fract_z
_atom_site_occupancy
Ca1 0.000 0.000 0.500 1
Ag1 0.000 0.000 0.000 1
Br1 0.500 0.500 0.500 1
```

Summary:
Uncorrected formation energy in eV per atom: -0.35
D(E_F) in states/eV/atom: 0.606


# 4
Crystalline K11Rb17Li at its relaxed geometry, computed with PBE-GGA.

Cell and atoms, written as CIF:
```
data_K11Rb17Li
_cell_length_a 16.797
_cell_length_b 23.630
_cell_length_c 14.537
_cell_angle_alpha 90.00
_cell_angle_beta 125.02
_cell_angle_gamma 90.00
_space_group_name_H-M_alt 'C 1 m 1'
_space_group_IT_number 8
_space_group_name_Hall 'C -2y'
loop_
_atom_site_label
_atom_site_fract_x
_atom_site_fract_y
_atom_site_fract_z
_atom_site_occupancy
K1 0.000 0.000 0.000 1
K2 0.020 0.408 0.150 1
K3 0.080 0.090 0.503 1
K4 0.116 0.315 0.962 1
K5 0.211 0.407 0.780 1
K6 0.303 0.316 0.338 1
Rb1 0.096 0.298 0.467 1
Rb2 0.198 0.000 0.863 1
Rb3 0.251 0.135 0.152 1
Rb4 0.282 0.202 0.832 1
Rb5 0.292 0.500 0.504 1
Rb6 0.304 0.500 0.152 1
Rb7 0.355 0.151 0.546 1
Rb8 0.445 0.000 0.796 1
Rb9 0.460 0.342 0.741 1
Rb10 0.465 0.000 0.423 1
Rb11 0.481 0.323 0.152 1
Li1 0.170 0.000 0.334 1
```

Summary:
Calculated formation energy in eV/atom: 0.0243
D(E_F) in states/eV/atom: 0.730


# 5
Crystalline LaSbBr2 at its relaxed geometry, computed with PBE-GGA.

Cell and atoms, written as CIF:
```
data_LaSbBr2
_cell_length_a 3.740
_cell_length_b 5.823
_cell_length_c 14.711
_cell_angle_alpha 90.00
_cell_angle_beta 90.00
_cell_angle_gamma 90.00
_space_group_name_H-M_alt 'I m m m'
_space_group_IT_number 71
_space_group_name_Hall '-I 2 2'
loop_
_atom_site_label
_atom_site_fract_x
_atom_site_fract_y
_atom_site_fract_z
_atom_site_occupancy
La1 0.000 0.000 0.000 1
Sb1 0.000 0.000 0.500 1
Br1 0.000 0.500 0.342 1
```

Summary:
Uncorrected formation energy in eV per atom: -1.07
D(E_F) in states/eV/atom: 0.528


# 6
Crystalline Zn2Ag2Cl7 at its relaxed geometry, computed with PBE-GGA.

Cell and atoms, written as CIF:
```
data_Zn2Ag2Cl7
_cell_length_a 7.152
_cell_length_b 11.972
_cell_length_c 9.722
_cell_angle_alpha 90.00
_cell_angle_beta 108.71
_cell_angle_gamma 90.00
_space_group_name_H-M_alt 'C 1 2/m 1'
_space_group_IT_number 12
_space_group_name_Hall '-C 2y'
loop_
_atom_site_label
_atom_site_fract_x
_atom_site_fract_y
_atom_site_fract_z
_atom_site_occupancy
Zn1 0.188 0.000 0.239 1
Ag1 0.000 0.335 0.500 1
Cl1 0.000 0.000 0.000 1
Cl2 0.025 0.500 0.301 1
Cl3 0.142 0.165 0.347 1
```

Summary:
Uncorrected formation energy in eV per atom: -0.73
D(E_F) in states/eV/atom: 0.746


# 7
Crystalline Ba2LiAsO at its relaxed geometry, computed with PBE-GGA.

Cell and atoms, written as CIF:
```
data_Ba2LiAsO
_cell_length_a 5.451
_cell_length_b 5.451
_cell_length_c 4.314
_cell_angle_alpha 90.00
_cell_angle_beta 90.00
_cell_angle_gamma 90.00
_space_group_name_H-M_alt 'P 4/m m m'
_space_group_IT_number 123
_space_group_name_Hall '-P 4 2'
loop_
_atom_site_label
_atom_site_fract_x
_atom_site_fract_y
_atom_site_fract_z
_atom_site_occupancy
Ba1 0.000 0.500 0.000 1
Li1 0.000 0.000 0.500 1
As1 0.500 0.500 0.500 1
O1 0.000 0.000 0.000 1
```

Summary:
Uncorrected formation energy in eV per atom: -1.50
D(E_F) in states/eV/atom: 0.069


# 8
Crystalline HoGaSiNi3 at its relaxed geometry, computed with PBE-GGA.

Cell and atoms, written as CIF:
```
data_HoGaSiNi3
_cell_length_a 6.173
_cell_length_b 11.332
_cell_length_c 5.343
_cell_angle_alpha 90.00
_cell_angle_beta 90.00
_cell_angle_gamma 90.00
_space_group_name_H-M_alt 'C m c m'
_space_group_IT_number 63
_space_group_name_Hall '-C 2c 2'
loop_
_atom_site_label
_atom_site_fract_x
_atom_site_fract_y
_atom_site_fract_z
_atom_site_occupancy
Ho1 0.000 0.209 0.250 1
Ga1 0.000 0.458 0.250 1
Si1 0.000 0.130 0.750 1
Ni1 0.000 0.330 0.750 1
Ni2 0.197 0.000 0.000 1
```

Summary:
Uncorrected formation energy in eV per atom: -0.42
D(E_F) in states/eV/atom: 0.512